(1)
CsCaIn2: optimized geometry, PBE.

Calculated values
Volume   149.2 Å³ per cell
Raw total energy   -2.0628 eV per atom
ΔH_f (0 K)   0.02 eV per atom
DOS at the Fermi energy   5.6 states/eV per cell

Unit cell a=5.954 b=5.954 c=5.954 alpha=60.00 beta=60.00 gamma=60.00
Positions (direct):
Cs (0.000, 0.000, 0.000)
Ca (0.500, 0.500, 0.500)
In (0.250, 0.250, 0.250)
In (0.750, 0.750, 0.750)

(2)
CsCa2InIr: optimized geometry, PBE.

Calculated values
Volume   179.1 Å³ per cell
Raw total energy   -3.4433 eV per atom
ΔH_f (0 K)   -0.15 eV per atom
DOS at the Fermi energy   2.9 states/eV per cell

Unit cell a=5.741 b=5.741 c=5.433 alpha=90.00 beta=90.00 gamma=90.00
Positions (direct):
Cs (0.000, 0.000, 0.000)
Ca (0.000, 0.500, 0.500)
Ca (0.500, 0.000, 0.500)
In (0.500, 0.500, 0.000)
Ir (0.500, 0.500, 0.500)

(3)
CsCa2LaIn: optimized geometry, PBE.

Calculated values
Volume   212.6 Å³ per cell
Raw total energy   -1.6537 eV per atom
ΔH_f (0 K)   0.85 eV per atom
DOS at the Fermi energy   8.6 states/eV per cell

Unit cell a=5.903 b=5.903 c=6.101 alpha=90.00 beta=90.00 gamma=90.00
Positions (direct):
Cs (0.000, 0.000, 0.000)
Ca (0.000, 0.500, 0.000)
Ca (0.500, 0.000, 0.000)
La (0.500, 0.500, 0.500)
In (0.000, 0.000, 0.500)

(4)
CsLiCaIn2: optimized geometry, PBE.

Calculated values
Volume   297.8 Å³ per cell
Raw total energy   -1.6734 eV per atom
ΔH_f (0 K)   0.38 eV per atom
DOS at the Fermi energy   5.7 states/eV per cell

Unit cell a=6.423 b=6.423 c=7.219 alpha=90.00 beta=90.00 gamma=90.00
Positions (direct):
Cs (0.000, 0.000, 0.000)
Li (0.500, 0.500, 0.500)
Ca (0.500, 0.500, 0.000)
In (0.000, 0.500, 0.500)
In (0.500, 0.000, 0.500)

(5)
CsNa2CaIn: optimized geometry, PBE.

Calculated values
Volume   243.8 Å³ per cell
Raw total energy   -1.6217 eV per atom
ΔH_f (0 K)   0.02 eV per atom
DOS at the Fermi energy   3.9 states/eV per cell

Unit cell a=6.296 b=6.296 c=6.151 alpha=90.00 beta=90.00 gamma=90.00
Positions (direct):
Cs (0.000, 0.000, 0.000)
Na (0.000, 0.500, 0.500)
Na (0.500, 0.000, 0.500)
Ca (0.500, 0.500, 0.000)
In (0.500, 0.500, 0.500)

(6)
Cs2CaInNi: optimized geometry, PBE.

Calculated values
Volume   270.1 Å³ per cell
Raw total energy   -1.9454 eV per atom
ΔH_f (0 K)   0.50 eV per atom
DOS at the Fermi energy   5.4 states/eV per cell

Unit cell a=7.411 b=7.411 c=4.918 alpha=90.00 beta=90.00 gamma=90.00
Positions (direct):
Cs (0.000, 0.500, 0.000)
Cs (0.500, 0.000, 0.000)
Ca (0.000, 0.000, 0.500)
In (0.500, 0.500, 0.000)
Ni (0.500, 0.500, 0.500)

(7)
CsCa2InP: optimized geometry, PBE.

Calculated values
Volume   206.3 Å³ per cell
Raw total energy   -1.6196 eV per atom
ΔH_f (0 K)   0.98 eV per atom
DOS at the Fermi energy   4.1 states/eV per cell

Unit cell a=6.086 b=6.086 c=5.569 alpha=90.00 beta=90.00 gamma=90.00
Positions (direct):
Cs (0.000, 0.000, 0.000)
Ca (0.000, 0.500, 0.000)
Ca (0.500, 0.000, 0.000)
In (0.500, 0.500, 0.500)
P (0.000, 0.000, 0.500)

(8)
Cs2CaInPd: optimized geometry, PBE.

Calculated values
Volume   248.2 Å³ per cell
Raw total energy   -2.1728 eV per atom
ΔH_f (0 K)   0.16 eV per atom
DOS at the Fermi energy   5.4 states/eV per cell

Unit cell a=6.839 b=6.839 c=5.306 alpha=90.00 beta=90.00 gamma=90.00
Positions (direct):
Cs (0.000, 0.500, 0.000)
Cs (0.500, 0.000, 0.000)
Ca (0.000, 0.000, 0.500)
In (0.500, 0.500, 0.500)
Pd (0.500, 0.500, 0.000)

(9)
CsCaIn2Rh: optimized geometry, PBE.

Calculated values
Volume   158.0 Å³ per cell
Raw total energy   -3.3806 eV per atom
ΔH_f (0 K)   -0.24 eV per atom
DOS at the Fermi energy   3.5 states/eV per cell

Unit cell a=5.348 b=5.348 c=5.523 alpha=90.00 beta=90.00 gamma=90.00
Positions (direct):
Cs (0.000, 0.000, 0.000)
Ca (0.500, 0.500, 0.000)
In (0.000, 0.500, 0.500)
In (0.500, 0.000, 0.500)
Rh (0.500, 0.500, 0.500)

(10)
Cs2CaInSb2: optimized geometry, PBE.

Calculated values
Volume   507.5 Å³ per cell
Energy relative to the elements, uncorrected   -0.566 eV per atom
Raw total energy   -3.0143 eV per atom
DOS at the Fermi energy   3.9 states/eV per cell

Unit cell a=10.403 b=10.403 c=10.403 alpha=138.24 beta=61.66 gamma=136.78
Positions (direct):
Cs (0.176, 0.238, 0.414)
Cs (0.324, 0.738, 0.061)
Cs (0.676, 0.262, 0.939)
Cs (0.824, 0.762, 0.586)
Ca (0.250, 0.750, 0.500)
Ca (0.750, 0.250, 0.500)
In (0.250, 0.250, 0.000)
In (0.750, 0.750, 0.000)
Sb (0.096, 0.753, 0.849)
Sb (0.404, 0.253, 0.657)
Sb (0.596, 0.747, 0.343)
Sb (0.904, 0.247, 0.151)

(11)
CsCaIr2: optimized geometry, PBE.

Calculated values
Offset from the most stable computed form   0.000 eV/atom
Volume   241.0 Å³ per cell
Raw total energy   -4.5144 eV per atom
ΔH_f (0 K)   0.63 eV per atom
DOS at the Fermi energy   4.0 states/eV per cell

Unit cell a=10.609 b=10.609 c=10.609 alpha=153.28 beta=153.28 gamma=38.15
Positions (direct):
Cs (0.000, 0.000, 0.000)
Cs (0.750, 0.250, 0.500)
Ca (0.250, 0.750, 0.500)
Ca (0.500, 0.500, 0.000)
Ir (0.305, 0.125, 0.680)
Ir (0.375, 0.695, 0.820)
Ir (0.445, 0.625, 0.320)
Ir (0.875, 0.555, 0.180)

(12)
CsCa2Ir: optimized geometry, PBE.

Calculated values
Offset from the most stable computed form   0.000 eV/atom
Volume   440.1 Å³ per cell
Raw total energy   -3.1818 eV per atom
ΔH_f (0 K)   0.25 eV per atom
DOS at the Fermi energy   3.7 states/eV per cell

Unit cell a=8.526 b=8.526 c=8.526 alpha=119.72 beta=119.72 gamma=90.48
Positions (direct):
Cs (0.000, 0.000, 0.000)
Cs (0.750, 0.250, 0.500)
Ca (0.373, 0.625, 0.248)
Ca (0.375, 0.623, 0.748)
Ca (0.377, 0.125, 0.752)
Ca (0.875, 0.627, 0.252)
Ir (0.250, 0.750, 0.500)
Ir (0.500, 0.500, 0.000)